Here is LiTmFeSn after structural relaxation from Alexandria. Energies are from PBE-GGA.

## Properties
Space-group type ... F-43m, No. 216
Crystal system ... cubic
Density ... 8.20 g/cm³
Final energy ... -4.937 eV/atom

extended XYZ file:
```
4
Lattice="0.0000 3.2856 3.2856 3.2856 0.0000 3.2856 3.2856 3.2856 0.0000" Properties=species:S:1:pos:R:3 pbc="T T T"
Li 0.0000 0.0000 0.0000
Tm 4.9284 4.9284 4.9284
Fe 3.2856 3.2856 3.2856
Sn 1.6428 1.6428 1.6428
```